## one
Crystalline ZrTi2P2 at its relaxed geometry. Source: Alexandria via LeMat-Bulk, functional PBE.

Unit cell a=6.349 b=6.349 c=5.096 alpha=108.98 beta=108.98 gamma=98.68
Fractional positions:
Zr (0.112, 0.888, 0.750)
Zr (0.888, 0.112, 0.250)
Ti (0.219, 0.426, 0.009)
Ti (0.426, 0.219, 0.509)
Ti (0.574, 0.781, 0.491)
Ti (0.781, 0.574, 0.991)
P (0.178, 0.822, 0.250)
P (0.386, 0.614, 0.750)
P (0.614, 0.386, 0.250)
P (0.822, 0.178, 0.750)

## Properties
- volume (Å³/f.u.) = 87.97


## two
Crystalline ZrTi2P2 at its relaxed geometry. Source: Alexandria via LeMat-Bulk, functional PBE.

Unit cell a=6.811 b=6.811 c=3.383 alpha=90.00 beta=90.00 gamma=90.00
Fractional positions:
Zr (0.000, 0.000, 0.000)
Zr (0.500, 0.500, 0.000)
Ti (0.156, 0.344, 0.500)
Ti (0.344, 0.844, 0.500)
Ti (0.656, 0.156, 0.500)
Ti (0.844, 0.656, 0.500)
P (0.137, 0.637, 0.000)
P (0.363, 0.137, 0.000)
P (0.637, 0.863, 0.000)
P (0.863, 0.363, 0.000)

## Properties
- volume (Å³/f.u.) = 78.47


Least stable: one


## one
Crystalline ZrTiP2 at its relaxed geometry. Source: Alexandria via LeMat-Bulk, functional PBE.

Unit cell a=6.993 b=6.993 c=6.993 alpha=131.89 beta=131.89 gamma=70.40
Fractional positions:
Zr (0.000, 0.000, 0.000)
Zr (0.750, 0.250, 0.500)
Ti (0.250, 0.750, 0.500)
Ti (0.500, 0.500, 0.000)
P (0.146, 0.625, 0.021)
P (0.375, 0.396, 0.521)
P (0.604, 0.125, 0.979)
P (0.875, 0.854, 0.479)

## Properties
- volume (Å³/f.u.) = 92.84


## two
Crystalline ZrTiP2 at its relaxed geometry. Source: Alexandria via LeMat-Bulk, functional PBE.

Unit cell a=6.285 b=6.285 c=6.285 alpha=33.73 beta=33.73 gamma=33.73
Fractional positions:
Zr (0.000, 0.000, 0.000)
Ti (0.500, 0.500, 0.500)
P (0.244, 0.244, 0.244)
P (0.756, 0.756, 0.756)

## Properties
- volume (Å³/f.u.) = 68.19


## three
Crystalline ZrTiP2 at its relaxed geometry. Source: Alexandria via LeMat-Bulk, functional PBE.

Unit cell a=4.497 b=4.497 c=4.497 alpha=60.00 beta=60.00 gamma=60.00
Fractional positions:
Zr (0.000, 0.000, 0.000)
Ti (0.500, 0.500, 0.500)
P (0.250, 0.250, 0.250)
P (0.750, 0.750, 0.750)

## Properties
- volume (Å³/f.u.) = 64.31


## four
Crystalline ZrTiP2 at its relaxed geometry. Source: Alexandria via LeMat-Bulk, functional PBE.

Unit cell a=6.515 b=6.515 c=6.515 alpha=31.89 beta=31.89 gamma=31.89
Fractional positions:
Zr (0.000, 0.000, 0.000)
Ti (0.178, 0.178, 0.178)
P (0.582, 0.582, 0.582)
P (0.761, 0.761, 0.761)

## Properties
- volume (Å³/f.u.) = 68.56


Least stable: one


## one
Crystalline ZrTiP3 at its relaxed geometry. Source: Alexandria via LeMat-Bulk, functional PBE.

Unit cell a=4.608 b=4.608 c=4.608 alpha=90.00 beta=90.00 gamma=90.00
Fractional positions:
Zr (0.000, 0.000, 0.000)
Ti (0.500, 0.500, 0.500)
P (0.000, 0.500, 0.500)
P (0.500, 0.000, 0.500)
P (0.500, 0.500, 0.000)

## Properties
- volume (Å³/f.u.) = 97.84


## two
Crystalline ZrTiP3 at its relaxed geometry. Source: Alexandria via LeMat-Bulk, functional PBE.

Unit cell a=4.914 b=4.914 c=4.914 alpha=90.00 beta=90.00 gamma=90.00
Fractional positions:
Zr (0.000, 0.000, 0.000)
Ti (0.500, 0.500, 0.500)
P (0.000, 0.000, 0.500)
P (0.000, 0.500, 0.000)
P (0.500, 0.000, 0.000)

## Properties
- volume (Å³/f.u.) = 118.69


Least stable: two


## one
Crystalline ZrTi3P at its relaxed geometry. Source: Alexandria via LeMat-Bulk, functional PBE.

Unit cell a=8.542 b=3.470 c=11.605 alpha=90.00 beta=90.00 gamma=90.00
Fractional positions:
Zr (0.171, 0.250, 0.009)
Zr (0.329, 0.750, 0.509)
Zr (0.671, 0.250, 0.491)
Zr (0.829, 0.750, 0.991)
Ti (0.062, 0.250, 0.416)
Ti (0.085, 0.750, 0.223)
Ti (0.166, 0.750, 0.789)
Ti (0.334, 0.250, 0.289)
Ti (0.415, 0.250, 0.723)
Ti (0.438, 0.750, 0.916)
Ti (0.562, 0.250, 0.084)
Ti (0.585, 0.750, 0.277)
Ti (0.666, 0.750, 0.711)
Ti (0.834, 0.250, 0.211)
Ti (0.915, 0.250, 0.777)
Ti (0.938, 0.750, 0.584)
P (0.144, 0.250, 0.629)
P (0.356, 0.750, 0.129)
P (0.644, 0.250, 0.871)
P (0.856, 0.750, 0.371)

## Properties
- volume (Å³/f.u.) = 86.00


## two
Crystalline ZrTi3P at its relaxed geometry. Source: Alexandria via LeMat-Bulk, functional PBE.

Unit cell a=4.779 b=4.779 c=4.779 alpha=90.00 beta=90.00 gamma=90.00
Fractional positions:
Zr (0.000, 0.000, 0.000)
Ti (0.000, 0.000, 0.500)
Ti (0.000, 0.500, 0.000)
Ti (0.500, 0.000, 0.000)
P (0.500, 0.500, 0.500)

## Properties
- volume (Å³/f.u.) = 109.16


## three
Crystalline ZrTi3P at its relaxed geometry. Source: Alexandria via LeMat-Bulk, functional PBE.

Unit cell a=4.593 b=4.593 c=4.593 alpha=90.00 beta=90.00 gamma=90.00
Fractional positions:
Zr (0.000, 0.000, 0.000)
Ti (0.000, 0.500, 0.500)
Ti (0.500, 0.000, 0.500)
Ti (0.500, 0.500, 0.000)
P (0.500, 0.500, 0.500)

## Properties
- volume (Å³/f.u.) = 96.90


Least stable: two


## one
Crystalline TlV3P at its relaxed geometry. Source: Alexandria via LeMat-Bulk, functional PBE.

Unit cell a=5.010 b=5.010 c=5.010 alpha=90.00 beta=90.00 gamma=90.00
Fractional positions:
Tl (0.000, 0.000, 0.000)
V (0.000, 0.000, 0.500)
V (0.000, 0.500, 0.000)
V (0.500, 0.000, 0.000)
P (0.500, 0.500, 0.500)

## Properties
- volume (Å³/f.u.) = 125.79


## two
Crystalline TlV3P at its relaxed geometry. Source: Alexandria via LeMat-Bulk, functional PBE.

Unit cell a=4.425 b=4.425 c=4.425 alpha=90.00 beta=90.00 gamma=90.00
Fractional positions:
Tl (0.000, 0.000, 0.000)
V (0.000, 0.500, 0.500)
V (0.500, 0.000, 0.500)
V (0.500, 0.500, 0.000)
P (0.500, 0.500, 0.500)

## Properties
- volume (Å³/f.u.) = 86.66


Least stable: one


## one
Crystalline TlVP2 at its relaxed geometry. Source: Alexandria via LeMat-Bulk, functional PBE.

Unit cell a=4.653 b=4.653 c=4.653 alpha=60.00 beta=60.00 gamma=60.00
Fractional positions:
Tl (0.000, 0.000, 0.000)
V (0.500, 0.500, 0.500)
P (0.250, 0.250, 0.250)
P (0.750, 0.750, 0.750)

## Properties
- volume (Å³/f.u.) = 71.22


## two
Crystalline TlVP2 at its relaxed geometry. Source: Alexandria via LeMat-Bulk, functional PBE.

Unit cell a=6.990 b=6.990 c=6.990 alpha=128.78 beta=128.78 gamma=75.36
Fractional positions:
Tl (0.000, 0.000, 0.000)
Tl (0.750, 0.250, 0.500)
V (0.250, 0.750, 0.500)
V (0.500, 0.500, 0.000)
P (0.215, 0.625, 0.090)
P (0.375, 0.465, 0.590)
P (0.535, 0.125, 0.910)
P (0.875, 0.785, 0.410)

## Properties
- volume (Å³/f.u.) = 100.99


Least stable: one